No. 1
Below is an optimized crystal structure of Mg3H3N, with properties calculated at the PBE level.

calculated total energy	-3.663	eV/atom
space-group type	R-3, No. 148

Unit cell a=5.737 b=5.737 c=6.091 alpha=61.91 beta=61.91 gamma=60.00
Fractional coordinates of all 14 atoms:
Mg (0.474, 0.079, 0.758)
Mg (0.311, 0.526, 0.242)
Mg (0.079, 0.689, 0.758)
N (0.330, 0.330, 0.011)
H (0.149, 0.371, 0.632)
Mg (0.526, 0.921, 0.242)
H (0.371, 0.848, 0.632)
H (0.851, 0.629, 0.368)
Mg (0.689, 0.474, 0.758)
N (0.670, 0.670, 0.989)
H (0.629, 0.152, 0.368)
H (0.848, 0.149, 0.632)
H (0.152, 0.851, 0.368)
Mg (0.921, 0.311, 0.242)

***

No. 2
Below is an optimized crystal structure of Dy4TlAg, with properties calculated at the PBE level.

DFT formation energy	-201	meV/atom
space-group type	P4/mmm, No. 123
N(E_F)	7.40	states/eV/cell

Unit cell a=3.609 b=3.609 c=12.901 alpha=89.98 beta=89.98 gamma=90.00
Fractional coordinates of all 6 atoms:
Dy (0.500, 0.500, 0.856)
Dy (0.000, 0.000, 0.337)
Tl (0.500, 0.500, 0.500)
Ag (0.000, 0.000, 0.000)
Dy (0.000, 0.000, 0.663)
Dy (0.500, 0.500, 0.144)

***

No. 3
Below is an optimized crystal structure of TiHRu2Au, with properties calculated at the PBE level.

calculated total energy	-6.836	eV/atom
space-group type	P4/mmm, No. 123
N(E_F)	2.87	states/eV/cell

Unit cell a=3.963 b=3.963 c=3.947 alpha=90.00 beta=90.00 gamma=90.00
Fractional coordinates of all 5 atoms:
Ru (0.000, 0.500, 0.000)
H (0.000, 0.000, 0.000)
Ti (0.000, 0.000, 0.500)
Ru (0.500, 0.000, 0.000)
Au (0.500, 0.500, 0.500)